Computed, not measured: a relaxed structure of HfOsRu2 at the GGA-PBE level of DFT.

For the formation energy, the calculation gives 402 meV/atom. The density of states at the Fermi level is 0.899 states/eV per atom. The volume is 17.1 Å³/atom. For the energy above the most stable polymorph in this dataset, the calculation gives 341 meV/atom. The magnetic moment is 0.0 μB per formula unit.

The space group is I-42d (No. 122) and the conventional cell measures 3.886, 3.886 and 18.154 Å, with angles of 90.00, 90.00 and 90.00 degrees. Symmetry generates all atoms from Hf at (0.000, 0.000, 0.000), Os at (0.000, 0.000, 0.500) and Ru at (0.220, 0.250, 0.625).